No. 1
A relaxed KTmSc4S8 crystal, computed with GGA-PBE.

Cell: 7.9503 7.9503 7.9503 Å, 58.72 58.72 58.72°
Fractional positions:
K 0.0000 0.0000 0.0000
Tm 0.3644 0.3644 0.3644
Sc 0.3638 0.3638 0.8851
Sc 0.3638 0.8851 0.3638
Sc 0.7419 0.7419 0.7419
Sc 0.8851 0.3638 0.3638
S 0.1286 0.1286 0.5673
S 0.1286 0.5673 0.1286
S 0.1348 0.6142 0.6142
S 0.1395 0.1395 0.1395
S 0.5673 0.1286 0.1286
S 0.6116 0.6116 0.6116
S 0.6142 0.1348 0.6142
S 0.6142 0.6142 0.1348

Properties
Electronic total energy (eV per atom): -6.3424
Volume (Å³/cell): 344.9
Space-group type: R3m (160)

=====

No. 2
A relaxed LuCd2Rh crystal, computed with GGA-PBE.

Cell: 10.7458 10.7458 10.7458 Å, 16.46 16.46 16.46°
Fractional positions:
Lu 0.0000 0.0000 0.0000
Cd 0.0975 0.0975 0.0975
Cd 0.9025 0.9025 0.9025
Rh 0.5000 0.5000 0.5000

Properties
Volume (Å³/cell): 86.9
Space-group type: R-3m (166)
Formation energy (meV per atom): 215.5

=====

No. 3
A relaxed ZrFePCl2 crystal, computed with GGA-PBE.

Cell: 4.9291 4.9291 5.2362 Å, 90.00 90.00 90.00°
Fractional positions:
Zr 0.0000 0.0000 0.0000
Fe 0.5000 0.5000 0.5000
P 0.0000 0.0000 0.5000
Cl 0.0000 0.5000 0.0000
Cl 0.5000 0.0000 0.0000

Properties
Energy above the lowest structure with this stoichiometry (meV per atom): 0.0
Volume (Å³/cell): 127.2
Space-group type: P4/mmm (123)

=====

No. 4
A relaxed CsBaMgI5 crystal, computed with GGA-PBE.

Cell: 9.1946 9.1946 12.1427 Å, 104.08 104.08 106.30°
Fractional positions:
Cs 0.1438 0.8562 0.7500
Cs 0.8562 0.1438 0.2500
Ba 0.5000 0.5000 0.0000
Ba 0.5000 0.5000 0.5000
Mg 0.1860 0.8140 0.2500
Mg 0.8140 0.1860 0.7500
I 0.0977 0.2467 0.9299
I 0.1649 0.5873 0.3645
I 0.2467 0.0977 0.4299
I 0.3998 0.6002 0.7500
I 0.4127 0.8351 0.1355
I 0.5873 0.1649 0.8645
I 0.6002 0.3998 0.2500
I 0.7533 0.9023 0.5701
I 0.8351 0.4127 0.6355
I 0.9023 0.7533 0.0701

Properties
Electronic total energy (eV per atom): -2.9440
Volume (Å³/cell): 900.7
Space-group type: C2/c (15)

=====

No. 5
A relaxed Co2TcBr crystal, computed with GGA-PBE.

Cell: 2.9934 3.3319 5.8077 Å, 90.00 90.00 90.00°
Fractional positions:
Co 0.0000 0.0000 0.2052
Co 0.0000 0.0000 0.7948
Tc 0.5000 0.5000 0.0000
Br 0.5000 0.5000 0.5000

Properties
Energy above the lowest structure with this stoichiometry (meV per atom): 163.0
Volume (Å³/cell): 57.9
Space-group type: Pmmm (47)

=====

No. 6
A relaxed Tb4Tm2Sc crystal, computed with GGA-PBE.

Cell: 6.0802 6.0802 15.1613 Å, 90.00 90.00 129.18°
Fractional positions:
Tb 0.0914 0.9086 0.8082
Tb 0.1999 0.8001 0.5700
Tb 0.3001 0.6999 0.0700
Tb 0.4086 0.5914 0.3082
Tb 0.5914 0.4086 0.6918
Tb 0.6999 0.3001 0.9300
Tb 0.8001 0.1999 0.4300
Tb 0.9086 0.0914 0.1918
Tm 0.1099 0.8901 0.3462
Tm 0.3901 0.6099 0.8462
Tm 0.6099 0.3901 0.1538
Tm 0.8901 0.1099 0.6538
Sc 0.0000 0.0000 0.0000
Sc 0.5000 0.5000 0.5000

Properties
Energy above the lowest structure with this stoichiometry (meV per atom): 42.6
Volume (Å³/cell): 434.5
Space-group type: Cmce (64)
Formation energy (meV per atom): 184.1

=====

No. 7
A relaxed Pa8Tc5Os crystal, computed with GGA-PBE.

Cell: 7.3653 7.3653 7.3653 Å, 109.02 109.02 110.38°
Fractional positions:
Pa 0.2568 0.5082 0.6325
Pa 0.3711 0.2389 0.2452
Pa 0.3758 0.7432 0.2515
Pa 0.4918 0.1243 0.7485
Pa 0.7611 0.0063 0.1322
Pa 0.8741 0.6289 0.8678
Pa 0.8757 0.6242 0.3675
Pa 0.9937 0.1259 0.7548
Tc 0.1271 0.0101 0.3853
Tc 0.2582 0.8729 0.8830
Tc 0.5000 0.5000 0.0000
Tc 0.6248 0.7418 0.6147
Tc 0.9899 0.3752 0.1170
Os 0.7500 0.2500 0.5000

Properties
Volume (Å³/cell): 307.5
Space-group type: I-4 (82)
Formation energy (meV per atom): -170.0

=====

No. 8
A relaxed DyI2O6 crystal, computed with GGA-PBE.

Cell: 7.5994 7.5994 5.9748 Å, 98.13 98.13 102.84°
Fractional positions:
Dy 0.0866 0.9134 0.7500
Dy 0.9134 0.0866 0.2500
I 0.1931 0.4446 0.7893
I 0.4446 0.1931 0.2893
I 0.5554 0.8069 0.7107
I 0.8069 0.5554 0.2107
O 0.0698 0.6326 0.8366
O 0.0815 0.1810 0.6137
O 0.1810 0.0815 0.1137
O 0.2883 0.5088 0.5389
O 0.3674 0.9302 0.6634
O 0.4912 0.7117 0.9611
O 0.5088 0.2883 0.0389
O 0.6326 0.0698 0.3366
O 0.7117 0.4912 0.4611
O 0.8190 0.9185 0.8863
O 0.9185 0.8190 0.3863
O 0.9302 0.3674 0.1634

Properties
Electronic total energy (eV per atom): -5.2143
Volume (Å³/cell): 327.7
Space-group type: C2/c (15)

=====

Which formula does entry 1 have? KTmSc4S8

=====

The highest volume belongs to which entry? CsBaMgI5